This record from OQMD via LeMat-Bulk describes crystalline SmTlPd at its relaxed geometry. The functional is PBE.

abc: 7.1506 4.6629 8.4527
angles: 90.00 90.00 90.00
Fractional positions:
1 Sm 0.0270 0.2500 0.1908
2 Sm 0.4730 0.7500 0.6908
3 Sm 0.5270 0.2500 0.3092
4 Sm 0.9730 0.7500 0.8092
5 Tl 0.1621 0.2500 0.5686
6 Tl 0.3379 0.7500 0.0686
7 Tl 0.6621 0.2500 0.9314
8 Tl 0.8379 0.7500 0.4314
9 Pd 0.2470 0.2500 0.8930
10 Pd 0.2530 0.7500 0.3930
11 Pd 0.7470 0.2500 0.6070
12 Pd 0.7530 0.7500 0.1070

Summary:
Energy ... -56.45 eV for the cell shown
Relative energy among the computed polymorphs ... 7 kJ/mol of formula units

=====

This record from OQMD via LeMat-Bulk describes crystalline CuAg7 at its relaxed geometry. The functional is PBE.

abc: 5.8253 5.8253 4.0636
angles: 90.00 90.00 90.00
Fractional positions:
1 Cu 0.0000 0.0000 0.0000
2 Ag 0.0000 0.5000 0.0000
3 Ag 0.2441 0.2441 0.5000
4 Ag 0.2441 0.7559 0.5000
5 Ag 0.5000 0.0000 0.0000
6 Ag 0.5000 0.5000 0.0000
7 Ag 0.7559 0.2441 0.5000
8 Ag 0.7559 0.7559 0.5000

Summary:
DFT formation energy ... 0.04 eV/atom
Energy ... -23.19 eV for the cell shown
Relative energy among the computed polymorphs ... 11 kJ/mol of formula units

=====

This record from OQMD via LeMat-Bulk describes crystalline CoSbOsPd at its relaxed geometry. The functional is PBE.

abc: 6.2495 6.2495 6.2495
angles: 90.00 90.00 90.00
Fractional positions:
1 Co 0.0000 0.0000 0.0000
2 Co 0.0000 0.5000 0.5000
3 Co 0.5000 0.0000 0.5000
4 Co 0.5000 0.5000 0.0000
5 Sb 0.2500 0.2500 0.7500
6 Sb 0.2500 0.7500 0.2500
7 Sb 0.7500 0.2500 0.2500
8 Sb 0.7500 0.7500 0.7500
9 Os 0.0000 0.0000 0.5000
10 Os 0.0000 0.5000 0.0000
11 Os 0.5000 0.0000 0.0000
12 Os 0.5000 0.5000 0.5000
13 Pd 0.2500 0.2500 0.2500
14 Pd 0.2500 0.7500 0.7500
15 Pd 0.7500 0.2500 0.7500
16 Pd 0.7500 0.7500 0.2500

Summary:
Energy ... -105.92 eV for the cell shown
Relative energy among the computed polymorphs ... 0 kJ/mol of formula units